DFT (PBE) results for crystalline V2Co2Ni15 at its relaxed geometry.

Cell lengths 6.147, 6.147, 6.147 Å; angles 81.00, 81.00, 81.00 degrees
Sites, in units of the cell vectors:
V (0.198, 0.198, 0.198)
V (0.802, 0.802, 0.802)
Co (0.407, 0.407, 0.407)
Co (0.593, 0.593, 0.593)
Ni (0.000, 0.500, 0.500)
Ni (0.155, 0.155, 0.660)
Ni (0.155, 0.660, 0.155)
Ni (0.183, 0.500, 0.817)
Ni (0.183, 0.817, 0.500)
Ni (0.340, 0.845, 0.845)
Ni (0.500, 0.000, 0.500)
Ni (0.500, 0.183, 0.817)
Ni (0.500, 0.500, 0.000)
Ni (0.500, 0.817, 0.183)
Ni (0.660, 0.155, 0.155)
Ni (0.817, 0.183, 0.500)
Ni (0.817, 0.500, 0.183)
Ni (0.845, 0.340, 0.845)
Ni (0.845, 0.845, 0.340)

The energy relative to the elements is 12.40 kJ/mol of atoms. The density of states at the Fermi level is 25.19 states/eV per cell.


DFT (PBE) results for crystalline La3Ho2Tl7 at its relaxed geometry.

Cell lengths 12.262, 12.262, 5.760 Å; angles 90.00, 90.00, 153.73 degrees
Sites, in units of the cell vectors:
La (0.000, 0.000, 0.000)
La (0.168, 0.832, 0.000)
La (0.832, 0.168, 0.000)
Ho (0.359, 0.641, 0.500)
Ho (0.641, 0.359, 0.500)
Tl (0.078, 0.922, 0.500)
Tl (0.228, 0.772, 0.500)
Tl (0.414, 0.586, 0.000)
Tl (0.500, 0.500, 0.500)
Tl (0.586, 0.414, 0.000)
Tl (0.772, 0.228, 0.500)
Tl (0.922, 0.078, 0.500)

The energy relative to the elements is -15.80 kJ/mol of atoms. The density of states at the Fermi level is 10.63 states/eV per cell.


DFT (PBE) results for crystalline K6Cl2OF2 at its relaxed geometry.

Cell lengths 6.964, 6.964, 7.618 Å; angles 99.36, 99.36, 119.59 degrees
Sites, in units of the cell vectors:
K (0.054, 0.386, 0.196)
K (0.240, 0.240, 0.807)
K (0.386, 0.054, 0.196)
K (0.614, 0.946, 0.804)
K (0.760, 0.760, 0.193)
K (0.946, 0.614, 0.804)
Cl (0.172, 0.828, 0.500)
Cl (0.828, 0.172, 0.500)
O (0.000, 0.000, 0.000)
F (0.336, 0.664, 0.000)
F (0.664, 0.336, 0.000)

The formation energy without anion corrections is -1.96 eV/atom.